[1]
Here is NiPSe2 after structural relaxation from Alexandria via LeMat-Bulk. Energies are from PBE.

a = 8.465 Å, b = 8.465 Å, c = 8.465 Å
α = 156.56°, β = 156.56°, γ = 33.39°
Element x y z (fractional)
Se 0.000 0.000 0.000
Se 0.250 0.750 0.500
P 0.750 0.250 0.500
Ni 0.500 0.500 0.000

Output
raw formation energy: 9.06 kcal/mol of atoms
total moment: 0.52 μB per formula unit


[2]
Here is Tb2Pm3Hg2 after structural relaxation from Alexandria via LeMat-Bulk. Energies are from PBE.

a = 5.449 Å, b = 5.450 Å, c = 8.635 Å
α = 108.37°, β = 90.00°, γ = 119.99°
Element x y z (fractional)
Hg 0.212 0.423 0.136
Tb 0.075 0.150 0.724
Hg 0.788 0.577 0.864
Pm 0.500 0.000 0.000
Pm 0.659 0.317 0.476
Pm 0.341 0.683 0.524
Tb 0.925 0.850 0.276

Output
energy of formation: -0.243 eV per atom
relative energy among the computed polymorphs: 0 meV/atom
total moment: 0.00 μB per formula unit


[3]
Here is PmDy5Al6 after structural relaxation from Alexandria via LeMat-Bulk. Energies are from PBE.

a = 5.104 Å, b = 7.250 Å, c = 8.077 Å
α = 90.00°, β = 71.58°, γ = 90.00°
Element x y z (fractional)
Al 0.500 0.253 0.000
Dy 0.667 0.000 0.665
Dy 0.333 0.000 0.335
Al 0.831 0.746 0.338
Dy 0.335 0.500 0.329
Al 0.169 0.746 0.662
Dy 0.000 0.500 0.000
Al 0.169 0.254 0.662
Al 0.831 0.254 0.338
Pm 0.000 0.000 0.000
Dy 0.665 0.500 0.671
Al 0.500 0.747 0.000

Output
energy of formation: -0.392 eV per atom
total moment: 0.00 μB per formula unit


[4]
Here is Ca2HgF2 after structural relaxation from Alexandria via LeMat-Bulk. Energies are from PBE.

a = 7.761 Å, b = 7.761 Å, c = 3.230 Å
α = 90.00°, β = 90.00°, γ = 90.00°
Element x y z (fractional)
F 0.108 0.392 0.000
Ca 0.151 0.651 0.500
Ca 0.849 0.349 0.500
F 0.608 0.108 0.000
Ca 0.651 0.849 0.500
Ca 0.349 0.151 0.500
Hg 0.000 0.000 0.000
F 0.392 0.892 0.000
F 0.892 0.608 0.000
Hg 0.500 0.500 0.000

Output
relative energy among the computed polymorphs: 112 meV/atom
raw formation energy: -45.55 kcal/mol of atoms
total moment: 0.00 μB per formula unit


[5]
Here is Pm3Zn7Cu4 after structural relaxation from Alexandria via LeMat-Bulk. Energies are from PBE.

a = 4.339 Å, b = 8.094 Å, c = 8.264 Å
α = 65.39°, β = 74.78°, γ = 74.45°
Element x y z (fractional)
Zn 0.668 0.184 0.479
Pm 0.299 0.200 0.202
Zn 0.860 0.358 0.921
Zn 0.499 0.199 0.803
Pm 0.701 0.800 0.798
Cu 0.872 0.914 0.341
Zn 0.501 0.801 0.197
Pm 0.000 0.500 0.500
Cu 0.663 0.475 0.198
Zn 0.140 0.642 0.079
Cu 0.128 0.086 0.659
Zn 0.332 0.816 0.521
Cu 0.337 0.525 0.802
Zn 0.000 0.000 0.000

Output
energy of formation: -0.284 eV per atom
total moment: 0.00 μB per formula unit


[6]
Here is K2AlSnSe4 after structural relaxation from Alexandria via LeMat-Bulk. Energies are from PBE.

a = 6.653 Å, b = 7.995 Å, c = 11.746 Å
α = 83.23°, β = 73.55°, γ = 65.41°
Element x y z (fractional)
Al 0.000 0.000 0.000
Se 0.256 0.800 0.116
K 0.933 0.500 0.133
Sn 0.250 0.500 0.500
K 0.817 0.000 0.367
Se 0.805 0.700 0.616
Sn 0.500 0.000 0.000
Se 0.494 0.700 0.384
Se 0.122 0.300 0.384
K 0.183 0.000 0.633
Se 0.579 0.300 0.616
Se 0.945 0.800 0.884
K 0.567 0.500 0.867
Se 0.628 0.200 0.116
Se 0.171 0.200 0.884
Al 0.750 0.500 0.500

Output
raw formation energy: -20.03 kcal/mol of atoms
total moment: 0.00 μB per formula unit


[7]
Here is LuTh2Ru after structural relaxation from Alexandria via LeMat-Bulk. Energies are from PBE.

a = 3.644 Å, b = 3.644 Å, c = 8.078 Å
α = 90.00°, β = 90.00°, γ = 90.00°
Element x y z (fractional)
Lu 0.500 0.500 0.500
Th 0.000 0.000 0.796
Th 0.000 0.000 0.204
Ru 0.500 0.500 0.000

Output
energy of formation: -0.099 eV per atom
total moment: 0.00 μB per formula unit


[8]
Here is CaAg3Rh after structural relaxation from Alexandria via LeMat-Bulk. Energies are from PBE.

a = 5.037 Å, b = 5.037 Å, c = 5.037 Å
α = 90.00°, β = 90.00°, γ = 90.00°
Element x y z (fractional)
Rh 0.500 0.500 0.500
Ag 0.500 0.000 0.000
Ag 0.000 0.000 0.500
Ag 0.000 0.500 0.000
Ca 0.000 0.000 0.000

Output
energy of formation: 1.347 eV per atom
relative energy among the computed polymorphs: 970 meV/atom
total moment: 0.00 μB per formula unit